(1)
Here is a relaxed EuYGe2 crystal from Alexandria. Energies are from PBE-GGA.

## Properties
* uncorrected energy: -7.10 eV/atom
* theoretical density: 6.70 g cm⁻³
* D(E_F): 2.663 states/eV/f.u.

Cell: 3.403 3.403 8.265 Å, 90.00 90.00 90.00°
Space group P4/mmm (No. 123)
Symmetry-distinct sites (fractional):
1 Eu 0.000 0.000 0.000 (multiplicity 1)
2 Y 0.000 0.000 0.500 (multiplicity 1)
3 Ge 0.500 0.500 0.259 (multiplicity 2)

(2)
Here is a relaxed KSr2ErBr8 crystal from Alexandria. Energies are from PBE-GGA.

## Properties
* uncorrected energy: -3.82 eV/atom
* energy relative to the elements, uncorrected: -1955 meV per atom
* theoretical density: 3.68 g cm⁻³
* D(E_F): 0.000 states/eV/f.u.

Cell: 6.843 9.406 7.148 Å, 90.00 90.05 90.00°
Space group P2/m (No. 10)
Symmetry-distinct sites (fractional):
1 K 0.000 0.000 0.000 (multiplicity 1)
2 Sr 0.500 0.252 0.500 (multiplicity 2)
3 Er 0.000 0.500 0.000 (multiplicity 1)
4 Br 0.229 0.287 0.157 (multiplicity 4)
5 Br 0.250 0.500 0.679 (multiplicity 2)
6 Br 0.261 0.000 0.630 (multiplicity 2)

(3)
Here is a relaxed Pr4Ga16Rh3 crystal from Alexandria. Energies are from PBE-GGA.

## Properties
* uncorrected energy: -4.53 eV/atom
* theoretical density: 7.40 g cm⁻³
* D(E_F): 7.054 states/eV/f.u.

Cell: 6.245 6.245 11.437 Å, 90.00 90.00 90.00°
Space group P4/mmm (No. 123)
Symmetry-distinct sites (fractional):
1 Pr 0.000 0.500 0.194 (multiplicity 4)
2 Ga 0.000 0.000 0.196 (multiplicity 2)
3 Ga 0.213 0.213 0.000 (multiplicity 4)
4 Ga 0.252 0.252 0.384 (multiplicity 8)
5 Ga 0.500 0.500 0.224 (multiplicity 2)
6 Rh 0.000 0.500 0.500 (multiplicity 2)
7 Rh 0.500 0.500 0.000 (multiplicity 1)

(4)
Here is a relaxed CsAs2OsSe crystal from Alexandria. Energies are from PBE-GGA.

## Properties
* uncorrected energy: -2.27 eV/atom
* energy relative to the elements, uncorrected: 2704 meV per atom
* theoretical density: 5.09 g cm⁻³
* D(E_F): 6.377 states/eV/f.u.
* offset from the most stable computed form: 57.78 kcal/mol of atoms

Cell: 5.753 5.753 5.442 Å, 90.00 90.00 90.00°
Space group P4/mmm (No. 123)
Symmetry-distinct sites (fractional):
1 Cs 0.000 0.000 0.000 (multiplicity 1)
2 As 0.000 0.500 0.000 (multiplicity 2)
3 Os 0.500 0.500 0.500 (multiplicity 1)
4 Se 0.000 0.000 0.500 (multiplicity 1)

(5)
Here is a relaxed HfFe10B3 crystal from Alexandria. Energies are from PBE-GGA.

## Properties
* uncorrected energy: -8.41 eV/atom
* theoretical density: 8.35 g cm⁻³
* D(E_F): 9.373 states/eV/f.u.

Cell: 10.699 10.699 10.699 Å, 90.00 90.00 90.00°
Space group Fm-3m (No. 225)
Symmetry-distinct sites (fractional):
1 Hf 0.250 0.250 0.250 (multiplicity 8)
2 Fe 0.000 0.168 0.168 (multiplicity 48)
3 Fe 0.114 0.114 0.386 (multiplicity 32)
4 B 0.000 0.000 0.273 (multiplicity 24)

(6)
Here is a relaxed ScTiBe10 crystal from Alexandria. Energies are from PBE-GGA.

## Properties
* uncorrected energy: -4.51 eV/atom
* theoretical density: 2.56 g cm⁻³
* D(E_F): 2.952 states/eV/f.u.

Cell: 3.463 4.450 7.701 Å, 90.00 90.00 90.00°
Space group Pmmm (No. 47)
Symmetry-distinct sites (fractional):
1 Sc 0.000 0.000 0.000 (multiplicity 1)
2 Ti 0.000 0.500 0.500 (multiplicity 1)
3 Be 0.000 0.000 0.341 (multiplicity 2)
4 Be 0.000 0.500 0.176 (multiplicity 2)
5 Be 0.500 0.000 0.500 (multiplicity 1)
6 Be 0.500 0.255 0.258 (multiplicity 4)
7 Be 0.500 0.500 0.000 (multiplicity 1)